Entry from Alexandria: an optimized crystal structure of ScInPd (PBE).

The formation energy is -0.589 eV per atom. Its space-group type is F-43m, No. 216. The density of states at the Fermi level comes out at 3.96 states/eV/cell. Its uncorrected energy is -5.34 eV per atom. The total magnetization comes out at 0.000 μB per formula unit.

```
ScInPd
1.0
0.000 3.221 3.221
3.221 0.000 3.221
3.221 3.221 0.000
Sc In Pd
1 1 1
Direct
0.000 0.000 0.000
0.500 0.500 0.500
0.250 0.250 0.250
```

Entry from Alexandria: an optimized crystal structure of BeRePO2 (PBE).

As for the offset from the most stable computed form: 0 meV per atom. Its space-group type is P4/mmm, No. 123. The density of states at the Fermi level comes out at 1.52 states/eV/cell. Its uncorrected energy is -6.76 eV per atom. The total magnetization comes out at 0.000 μB per formula unit.

```
BeRePO2
1.0
3.718 0.000 0.000
0.000 3.718 0.000
0.000 0.000 5.214
Be Re P O
1 1 1 2
Direct
0.000 0.000 0.000
0.500 0.500 0.500
0.500 0.500 0.000
0.000 0.500 0.500
0.500 0.000 0.500
```

Entry from Alexandria: an optimized crystal structure of LaTb2SmTm4 (PBE).

The formation energy is 0.025 eV per atom. Its space-group type is P2/m, No. 10. The density of states at the Fermi level comes out at 22.66 states/eV/cell. Its uncorrected energy is -4.57 eV per atom. The total magnetization comes out at 0.000 μB per formula unit.

```
LaTb2SmTm4
1.0
7.145 0.000 0.000
0.000 9.945 0.000
-0.010 0.000 7.157
La Tb Sm Tm
2 4 2 8
Direct
0.000 0.000 0.000
0.500 0.000 0.000
0.000 0.000 0.500
0.000 0.500 0.000
0.000 0.500 0.500
0.500 0.500 0.500
0.500 0.000 0.500
0.500 0.500 0.000
0.249 0.253 0.253
0.249 0.747 0.253
0.250 0.253 0.747
0.250 0.747 0.747
0.750 0.253 0.253
0.750 0.747 0.253
0.751 0.253 0.747
0.751 0.747 0.747
```

Entry from Alexandria: an optimized crystal structure of SmZrSc3 (PBE).

As for the offset from the most stable computed form: 0 meV per atom. The formation energy is 0.096 eV per atom. Its space-group type is C2/m, No. 12. The density of states at the Fermi level comes out at 16.84 states/eV/cell. Its uncorrected energy is -6.36 eV per atom. The total magnetization comes out at 0.002 μB per formula unit.

```
SmZrSc3
1.0
5.235 -3.273 0.000
5.235 3.273 0.000
-2.601 0.000 7.569
Sm Zr Sc
2 2 6
Direct
0.158 0.158 0.096
0.842 0.842 0.904
0.363 0.363 0.906
0.637 0.637 0.094
0.206 0.694 0.288
0.240 0.240 0.516
0.306 0.794 0.712
0.694 0.206 0.288
0.760 0.760 0.484
0.794 0.306 0.712
```

Entry from Alexandria: an optimized crystal structure of YPbC3 (PBE).

As for the offset from the most stable computed form: 0 meV per atom. The formation energy is 2.327 eV per atom. Its space-group type is Pm-3m, No. 221. The density of states at the Fermi level comes out at 3.29 states/eV/cell. Its uncorrected energy is -5.24 eV per atom. The total magnetization comes out at 0.000 μB per formula unit.

```
YPbC3
1.0
4.571 0.000 0.000
0.000 4.571 0.000
0.000 0.000 4.571
Y Pb C
1 1 3
Direct
0.000 0.000 0.000
0.500 0.500 0.500
0.000 0.000 0.500
0.000 0.500 0.000
0.500 0.000 0.000
```

Entry from Alexandria: an optimized crystal structure of Ac3Si3Tc (PBE).

Its space-group type is P2_1/m, No. 11. The density of states at the Fermi level comes out at 9.40 states/eV/cell. Its uncorrected energy is -5.81 eV per atom. The total magnetization comes out at 0.000 μB per formula unit.

```
Ac3Si3Tc
1.0
8.032 0.000 0.000
0.000 6.333 0.000
-1.539 0.000 8.382
Ac Si Tc
6 6 2
Direct
0.086 0.250 0.337
0.312 0.750 0.073
0.384 0.750 0.633
0.616 0.250 0.367
0.688 0.250 0.927
0.914 0.750 0.663
0.081 0.750 0.340
0.319 0.250 0.058
0.397 0.250 0.623
0.603 0.750 0.377
0.681 0.750 0.942
0.919 0.250 0.660
0.201 0.250 0.789
0.799 0.750 0.211
```

Entry from Alexandria: an optimized crystal structure of CaErTm2Te4 (PBE).

Its space-group type is P2/m, No. 10. The density of states at the Fermi level comes out at 3.72 states/eV/cell. Its uncorrected energy is -4.80 eV per atom. The total magnetization comes out at 0.000 μB per formula unit.

```
CaErTm2Te4
1.0
7.531 0.000 0.000
0.000 4.331 0.000
-2.476 0.000 7.124
Ca Er Tm Te
1 1 2 4
Direct
0.000 0.000 0.000
0.000 0.500 0.500
0.500 0.000 0.500
0.500 0.500 0.000
0.253 0.000 0.749
0.256 0.500 0.255
0.744 0.500 0.745
0.747 0.000 0.251
```

Entry from Alexandria: an optimized crystal structure of CaScHg4 (PBE).

As for the offset from the most stable computed form: 0 meV per atom. The formation energy is -0.329 eV per atom. Its space-group type is P2/m, No. 10. The density of states at the Fermi level comes out at 3.73 states/eV/cell. Its uncorrected energy is -1.92 eV per atom. The total magnetization comes out at 0.257 μB per formula unit.

```
CaScHg4
1.0
3.376 0.000 0.000
0.000 4.915 0.000
-0.016 0.000 8.558
Ca Sc Hg
1 1 4
Direct
0.000 0.000 0.000
0.000 0.500 0.500
0.497 0.000 0.663
0.499 0.500 0.830
0.501 0.500 0.170
0.503 0.000 0.337
```